Compound: Li3FeBAsO7
Source: Alexandria via LeMat-Bulk
Functional: GGA+U
Structure: relaxed

Cell and atoms, written as POSCAR:
```
Li3FeBAsO7
1.0
6.5815 0.0000 0.0000
0.0000 5.1166 0.0463
0.0000 0.6512 8.5691
Li O As B Fe
6 14 2 2 2
Cartesian
4.9361 3.9297 0.8545 Li
0.1015 1.3685 1.8698 Li
6.4801 4.3993 6.7456 Li
3.1893 1.3685 1.8698 Li
3.3922 4.3993 6.7456 Li
1.6454 1.8381 7.7609 Li
4.9361 4.8034 5.1739 O
4.9361 0.7736 7.8396 O
4.9361 2.3411 4.0193 O
3.6495 4.4225 2.5818 O
1.6454 3.8794 7.6284 O
1.6454 0.9644 3.4415 O
2.9320 1.3453 6.0336 O
4.9361 3.0414 7.1995 O
1.6454 2.7265 1.4159 O
4.9361 1.8884 0.9870 O
0.3587 1.3453 6.0336 O
6.2228 4.4225 2.5818 O
1.6454 4.9942 0.7758 O
1.6454 3.4267 4.5961 O
4.9361 4.0213 3.6540 As
1.6454 1.7465 4.9614 As
1.6454 3.6544 0.3473 B
4.9361 2.1134 8.2681 B
4.9361 1.5797 5.8616 Fe
1.6454 4.1881 2.7538 Fe
```

final energy	-6.26	eV per atom
total magnetic moment	10.0	μB/cell